1.
A geometry-optimized CsRbSb3 structure, computed with PBE.

Calculated values
SG	Pm-3m
relative energy among the computed polymorphs	0.907	eV per atom
spin magnetization	0.00	μB/f.u.
formation energy (no corrections)	0.758	eV per atom
DFT total energy	-2.08	eV/atom

Geometry as extended XYZ:
```
5
Lattice="6.2996 0.0000 0.0000 0.0000 6.2996 0.0000 0.0000 0.0000 6.2996" Properties=species:S:1:pos:R:3 pbc="T T T"
Cs 3.1498 3.1498 3.1498
Sb 0.0000 3.1498 0.0000
Sb 0.0000 0.0000 3.1498
Sb 3.1498 0.0000 0.0000
Rb 0.0000 0.0000 0.0000
```


2.
A geometry-optimized Cs2RbSb structure, computed with PBE.

Calculated values
SG	P2_1/c
spin magnetization	0.00	μB/f.u.
formation energy (no corrections)	-0.274	eV per atom
DFT total energy	-1.97	eV/atom

Geometry as extended XYZ:
```
16
Lattice="-7.0717 4.1157 -3.3842 -3.7284 -9.7325 -4.0451 -3.7989 3.0737 11.6764" Properties=species:S:1:pos:R:3 pbc="T T T"
Cs -6.3428 2.7728 -0.7532
Cs -6.3948 -0.4481 7.0216
Cs -8.2562 -5.3159 5.0003
Cs -8.2043 -2.0950 -2.7745
Cs -10.1813 -0.9934 4.0964
Cs -5.4245 -6.9149 -1.4616
Cs -4.4177 -1.5497 0.1507
Cs -9.1745 4.3719 5.7087
Rb -6.1706 1.6750 3.3483
Rb -10.0998 2.7059 1.2294
Rb -8.4284 -4.2180 0.8988
Rb -4.4992 -5.2490 3.0177
Sb -7.9448 -0.5380 0.9556
Sb -3.3351 2.0144 6.0104
Sb -6.6542 -2.0051 3.2915
Sb -11.2640 -4.5575 -1.7633
```


3.
A geometry-optimized CsRbSbSe2 structure, computed with PBE.

Calculated values
SG	Pmma
spin magnetization	0.00	μB/f.u.
formation energy (no corrections)	-0.732	eV per atom
DFT total energy	-3.31	eV/atom

Geometry as extended XYZ:
```
10
Lattice="-3.4298 -5.2536 4.8724 7.7017 -6.6428 -1.7410 -0.1027 4.0863 4.3338" Properties=species:S:1:pos:R:3 pbc="T T T"
Cs 3.1437 -1.2219 3.2750
Cs 1.0255 -6.5882 4.1901
Rb -1.4225 -1.1180 3.0678
Rb -2.1100 -0.0492 6.1383
Sb 0.0000 0.0000 0.0000
Sb -0.0513 2.0432 2.1669
Se 3.2620 -9.1813 2.5949
Se -1.0132 -3.6920 5.5043
Se 5.1824 -4.1180 1.9608
Se 0.9072 1.3713 4.8702
```


4.
A geometry-optimized CsRbSbSe3 structure, computed with PBE.

Calculated values
SG	C2/m
spin magnetization	0.00	μB/f.u.
formation energy (no corrections)	-0.728	eV per atom
DFT total energy	-3.46	eV/atom

Geometry as extended XYZ:
```
12
Lattice="-3.7667 3.0637 -5.9402 -6.9226 -3.3057 -0.1031 -1.7178 6.9398 6.6441" Properties=species:S:1:pos:R:3 pbc="T T T"
Cs -8.5458 6.3002 2.2545
Cs -3.8612 0.3976 -1.6537
Rb -7.0341 1.6726 1.8366
Rb -5.3730 5.0252 -1.2358
Sb -11.8082 5.6338 -0.2364
Sb -0.5989 1.0640 0.8373
Se -2.7920 5.1321 4.0907
Se -6.0097 3.5953 4.6437
Se -4.2810 7.0844 1.4462
Se -8.1260 -0.3865 -0.8454
Se -6.3973 3.1026 -4.0429
Se -9.6150 1.5657 -3.4898
```


5.
A geometry-optimized CsRbSnSb structure, computed with PBE.

Calculated values
SG	Cm
spin magnetization	0.00	μB/f.u.
formation energy (no corrections)	-0.225	eV per atom
DFT total energy	-2.71	eV/atom

Geometry as extended XYZ:
```
4
Lattice="-3.7115 -0.6375 2.6465 2.8764 -3.5013 -0.8077 7.6752 4.5168 7.8851" Properties=species:S:1:pos:R:3 pbc="T T T"
Cs 1.0563 -1.9022 1.9653
Rb 4.0672 2.3815 7.2074
Sn 3.2847 -0.8522 5.3405
Sb 1.8642 1.3449 3.8736
```


6.
A geometry-optimized Cs2RbSnSb2 structure, computed with PBE.

Calculated values
SG	Ibam
spin magnetization	0.00	μB/f.u.
formation energy (no corrections)	-0.375	eV per atom
DFT total energy	-2.86	eV/atom

Geometry as extended XYZ:
```
12
Lattice="-0.7166 -1.3120 -7.5821 -5.7615 -6.4569 1.6618 -3.1532 9.4939 2.5936" Properties=species:S:1:pos:R:3 pbc="T T T"
Cs -6.7101 -3.2747 -2.7375
Cs -3.9134 0.1140 0.3502
Cs -5.7179 1.6111 -3.6768
Cs -2.9213 4.9998 -0.5890
Rb -0.1792 -0.3280 -1.8955
Rb -0.5375 -0.9840 -5.6865
Sn -3.4182 -4.2124 -4.8556
Sn -3.0599 -3.5564 -1.0646
Sb -6.2823 3.2858 0.0252
Sb -3.3490 -1.5607 -3.3518
Sb -5.2199 -3.4030 1.0822
Sb -4.4115 5.1281 -4.4088
```


7.
A geometry-optimized CsRb2SrSb structure, computed with PBE.

Calculated values
SG	P4/mmm
spin magnetization	0.00	μB/f.u.
formation energy (no corrections)	0.338	eV per atom
DFT total energy	-1.38	eV/atom

Geometry as extended XYZ:
```
5
Lattice="-6.7681 -0.9920 -1.3061 1.4691 -5.7716 -3.2290 -0.6399 -3.5090 5.9811" Properties=species:S:1:pos:R:3 pbc="T T T"
Cs 0.0000 0.0000 0.0000
Sb 0.7345 -2.8858 -1.6145
Rb -0.3200 -1.7545 2.9906
Rb -3.3840 -0.4960 -0.6531
Sr -2.9695 -5.1363 0.7230
```


8.
A geometry-optimized Cs2RbSbTe4 structure, computed with PBE.

Calculated values
SG	Fddd
spin magnetization	0.00	μB/f.u.
formation energy (no corrections)	-0.591	eV per atom
DFT total energy	-3.01	eV/atom

Geometry as extended XYZ:
```
16
Lattice="-1.0178 -6.5414 -3.1944 5.3549 -6.8004 3.7623 -10.2505 -6.0621 7.2228" Properties=species:S:1:pos:R:3 pbc="T T T"
Cs -6.6321 -5.0253 3.9467
Cs -4.6363 -7.5783 0.0817
Cs -6.8296 -12.3741 6.3728
Cs 0.4073 -10.3005 -0.1794
Rb -3.2112 -11.3373 3.0967
Rb 0.0000 0.0000 0.0000
Sb -2.7023 -8.0666 4.6939
Sb -0.5089 -3.2707 -1.5972
Te 2.4629 -8.6369 2.8417
Te -8.0328 -8.5593 6.0271
Te -5.4130 -16.1278 6.5253
Te -0.8440 -5.4838 0.1872
Te -0.3191 -9.5008 4.0173
Te -5.4289 -8.8401 4.2924
Te -3.7116 -14.6134 4.3620
Te -2.3672 -5.8535 2.9095
```